# 1
## AcLaNi2Sb2 (PBE)

Data for an optimized crystal structure of AcLaNi2Sb2.

Unit cell a=4.4581 b=4.4581 c=8.6656 alpha=90.00 beta=90.00 gamma=120.00
Space group P-3m1 (No. 164)
Inequivalent atoms, fractional coordinates:
Ac 0.0000 0.0000 0.0000 [1 per cell]
La 0.0000 0.0000 0.5000 [1 per cell]
Ni 0.3333 0.6667 0.7425 [2 per cell]
Sb 0.3333 0.6667 0.2604 [2 per cell]

- VASP energy (eV per atom) = -5.66
- crystal system = trigonal
- theoretical density (kg/m³) = 8092

# 2
## ReAg3W (PBE)

Data for an optimized crystal structure of ReAg3W.

Unit cell a=4.9082 b=4.9082 c=4.9082 alpha=90.00 beta=90.00 gamma=90.00
Space group Pm-3m (No. 221)
Inequivalent atoms, fractional coordinates:
Re 0.0000 0.0000 0.0000 [1 per cell]
Ag 0.0000 0.0000 0.5000 [3 per cell]
W 0.5000 0.5000 0.5000 [1 per cell]

- VASP energy (eV per atom) = -4.08
- crystal system = cubic
- ΔE to the lowest computed polymorph (eV/atom) = 0.080
- theoretical density (kg/m³) = 9741
- energy of formation (meV/atom) = 2712

# 3
## CdCCl2 (PBE)

Data for an optimized crystal structure of CdCCl2.

Unit cell a=9.3194 b=9.3194 c=9.3194 alpha=90.00 beta=90.00 gamma=90.00
Space group Fd-3m (No. 227, origin choice 2)
Inequivalent atoms, fractional coordinates:
Cd 0.1250 0.1250 0.1250 [8 per cell]
C 0.1250 0.1250 0.6250 [8 per cell]
Cl 0.0000 0.0000 0.5000 [16 per cell]

- VASP energy (eV per atom) = -2.53
- crystal system = cubic
- ΔE to the lowest computed polymorph (eV/atom) = 0.000
- theoretical density (kg/m³) = 3206

Q: theoretical density of number 1 (AcLaNi2Sb2)?
A: 8092 kg/m³

Q: Which value of theoretical density does entry 1 give?
A: 8092 kg/m³

Q: Which of these has the lowest VASP energy?
A: AcLaNi2Sb2

Q: Which of these has the highest VASP energy?
A: CdCCl2